Entry a
# Ag9Hg

An optimized crystal structure of Ag9Hg (PBE, OQMD).

abc: 2.9395 4.0157 36.0166
angles: 90.00 90.00 90.00
Sites, in units of the cell vectors:
Ag 0.2500 0.2500 0.0204
Ag 0.2500 0.2500 0.1024
Ag 0.2500 0.2500 0.1850
Ag 0.2500 0.2500 0.2679
Ag 0.2500 0.2500 0.3508
Ag 0.2500 0.2500 0.6915
Ag 0.2500 0.2500 0.7738
Ag 0.2500 0.2500 0.8564
Ag 0.2500 0.2500 0.9386
Ag 0.7500 0.7500 0.0614
Ag 0.7500 0.7500 0.1436
Ag 0.7500 0.7500 0.2262
Ag 0.7500 0.7500 0.3085
Ag 0.7500 0.7500 0.6492
Ag 0.7500 0.7500 0.7321
Ag 0.7500 0.7500 0.8150
Ag 0.7500 0.7500 0.8976
Ag 0.7500 0.7500 0.9796
Hg 0.2500 0.2500 0.6012
Hg 0.7500 0.7500 0.3988

Computed properties:
The density is 9.2 g/cm3.

Entry b
# Ag9Hg

An optimized crystal structure of Ag9Hg (PBE, OQMD).

abc: 2.9063 2.9063 48.8370
angles: 90.00 90.00 90.00
Sites, in units of the cell vectors:
Ag 0.2500 0.2500 0.0215
Ag 0.2500 0.2500 0.1069
Ag 0.2500 0.2500 0.1923
Ag 0.2500 0.2500 0.2778
Ag 0.2500 0.2500 0.3634
Ag 0.2500 0.2500 0.6794
Ag 0.2500 0.2500 0.7649
Ag 0.2500 0.2500 0.8506
Ag 0.2500 0.2500 0.9357
Ag 0.7500 0.7500 0.0643
Ag 0.7500 0.7500 0.1494
Ag 0.7500 0.7500 0.2351
Ag 0.7500 0.7500 0.3206
Ag 0.7500 0.7500 0.6366
Ag 0.7500 0.7500 0.7222
Ag 0.7500 0.7500 0.8077
Ag 0.7500 0.7500 0.8931
Ag 0.7500 0.7500 0.9785
Hg 0.2500 0.2500 0.5866
Hg 0.7500 0.7500 0.4134

Computed properties:
The density is 9.4 g/cm3.

Which one is most stable, and which one is least stable? entry b is the most stable of them, while entry a is the least stable.